[1]
Pm2Ga3CuAu4: optimized geometry, GGA-PBE.

Cell and atoms, written as CIF:
```
data_Pm2Ga3CuAu4
_space_group_name_H-M_alt 'P -4 m 2'
_space_group_IT_number 115
_cell_length_a 4.4350
_cell_length_b 4.4350
_cell_length_c 10.3986
_cell_angle_alpha 90.00
_cell_angle_beta 90.00
_cell_angle_gamma 90.00
loop_
_space_group_symop_operation_xyz
'x,y,z'
'y,-x,-z'
'-x,-y,z'
'-y,x,-z'
'-x,y,z'
'-y,-x,-z'
'x,-y,z'
'y,x,-z'
loop_
_atom_site_label
_atom_site_fract_x
_atom_site_fract_y
_atom_site_fract_z
_atom_site_occupancy
Pm1 0.0000 0.5000 0.2423 1
Ga1 0.0000 0.0000 0.0000 1
Ga2 0.0000 0.5000 0.6332 1
Cu1 0.5000 0.5000 0.0000 1
Au1 0.0000 0.0000 0.5000 1
Au2 0.0000 0.5000 0.8723 1
Au3 0.5000 0.5000 0.5000 1
```

## Properties
calculated density = 10.96 Mg/m³
total energy = -4.14 eV/atom
magnetic moment = 0.0 μB/f.u.
DOS at the Fermi energy = 0.5649 states/eV/atom
energy relative to the elements = -0.56 eV per atom
volume = 205 Å³ per cell

[2]
Cs2PbI3: optimized geometry, GGA-PBE.

Cell and atoms, written as CIF:
```
data_Cs2PbI3
_space_group_name_H-M_alt 'C 1 2/c 1'
_space_group_IT_number 15
_cell_length_a 16.2148
_cell_length_b 7.5966
_cell_length_c 10.8269
_cell_angle_alpha 90.00
_cell_angle_beta 109.49
_cell_angle_gamma 90.00
loop_
_space_group_symop_operation_xyz
'x,y,z'
'-x,-y,-z'
'-x,y,-z+1/2'
'x,-y,z+1/2'
'x+1/2,y+1/2,z'
'-x+1/2,-y+1/2,-z'
'-x+1/2,y+1/2,-z+1/2'
'x+1/2,-y+1/2,z+1/2'
loop_
_atom_site_label
_atom_site_fract_x
_atom_site_fract_y
_atom_site_fract_z
_atom_site_occupancy
Cs1 0.1720 0.0006 0.0859 1
Pb1 0.0000 0.4977 0.2500 1
I1 0.0000 0.0051 0.7500 1
I2 0.1370 0.4994 0.5687 1
```

## Properties
ΔE_f (raw) = -0.9984 eV per atom
calculated density = 4.51 Mg/m³
total energy = -2.68 eV/atom
magnetic moment = 0.0 μB/f.u.
DOS at the Fermi energy = 0.4109 states/eV/atom
volume = 1257 Å³ per cell

[3]
Mg2SiTc: optimized geometry, GGA-PBE.

Cell and atoms, written as CIF:
```
data_Mg2SiTc
_space_group_name_H-M_alt 'C m m m'
_space_group_IT_number 65
_space_group_name_Hall '-C 2 2'
_cell_length_a 3.6621
_cell_length_b 4.1221
_cell_length_c 8.7081
_cell_angle_alpha 90.00
_cell_angle_beta 90.00
_cell_angle_gamma 90.00
loop_
_atom_site_label
_atom_site_fract_x
_atom_site_fract_y
_atom_site_fract_z
_atom_site_occupancy
Mg1 0.0000 0.0000 0.2463 1
Si1 0.0000 0.5000 0.5000 1
Tc1 0.0000 0.5000 0.0000 1
```

## Properties
ΔE_f (raw) = 0.2159 eV per atom
calculated density = 4.41 Mg/m³
total energy = -4.53 eV/atom
magnetic moment = 0.0 μB/f.u.
DOS at the Fermi energy = 0.7029 states/eV/atom
volume = 131 Å³ per cell

[4]
K4PuNp3Te8: optimized geometry, GGA-PBE.

Cell and atoms, written as CIF:
```
data_K4PuNp3Te8
_space_group_name_H-M_alt 'C 1 2/m 1'
_space_group_IT_number 12
_cell_length_a 15.8869
_cell_length_b 9.1640
_cell_length_c 9.7598
_cell_angle_alpha 90.00
_cell_angle_beta 122.95
_cell_angle_gamma 90.00
loop_
_space_group_symop_operation_xyz
'x,y,z'
'-x,-y,-z'
'-x,y,-z'
'x,-y,z'
'x+1/2,y+1/2,z'
'-x+1/2,-y+1/2,-z'
'-x+1/2,y+1/2,-z'
'x+1/2,-y+1/2,z'
loop_
_atom_site_label
_atom_site_fract_x
_atom_site_fract_y
_atom_site_fract_z
_atom_site_occupancy
K1 0.0000 0.0000 0.0000 1
K2 0.0000 0.5000 0.0000 1
K3 0.2500 0.2500 0.0000 1
Pu1 0.0000 0.0000 0.5000 1
Np1 0.0000 0.5000 0.5000 1
Np2 0.2500 0.2500 0.5000 1
Te1 0.0142 0.2513 0.2893 1
Te2 0.2374 0.0000 0.7084 1
Te3 0.2373 0.5000 0.7102 1
```

## Properties
ΔE_f (raw) = -0.9389 eV per atom
calculated density = 5.94 Mg/m³
total energy = -6.11 eV/atom
magnetic moment = 9.2 μB/f.u.
DOS at the Fermi energy = 2.3046 states/eV/atom
volume = 1192 Å³ per cell

[5]
Pm2Dy3Au2: optimized geometry, GGA-PBE.

Cell and atoms, written as CIF:
```
data_Pm2Dy3Au2
_space_group_name_H-M_alt 'C 1 2/m 1'
_space_group_IT_number 12
_cell_length_a 12.8600
_cell_length_b 3.7561
_cell_length_c 9.2271
_cell_angle_alpha 90.00
_cell_angle_beta 116.63
_cell_angle_gamma 90.00
loop_
_space_group_symop_operation_xyz
'x,y,z'
'-x,-y,-z'
'-x,y,-z'
'x,-y,z'
'x+1/2,y+1/2,z'
'-x+1/2,-y+1/2,-z'
'-x+1/2,y+1/2,-z'
'x+1/2,-y+1/2,z'
loop_
_atom_site_label
_atom_site_fract_x
_atom_site_fract_y
_atom_site_fract_z
_atom_site_occupancy
Pm1 0.1513 0.0000 0.3135 1
Dy1 0.0000 0.5000 0.5000 1
Dy2 0.1143 0.5000 0.9463 1
Au1 0.1662 0.0000 0.7334 1
```

## Properties
calculated density = 9.76 Mg/m³
total energy = -4.77 eV/atom
magnetic moment = 0.0 μB/f.u.
DOS at the Fermi energy = 1.2395 states/eV/atom
energy relative to the elements = -0.50 eV per atom
volume = 398 Å³ per cell

[6]
Ac3DyTl2: optimized geometry, GGA-PBE.

Cell and atoms, written as CIF:
```
data_Ac3DyTl2
_space_group_name_H-M_alt 'I b a m'
_space_group_IT_number 72
_space_group_name_Hall '-I 2 2c'
_cell_length_a 7.1208
_cell_length_b 17.5425
_cell_length_c 7.1109
_cell_angle_alpha 90.00
_cell_angle_beta 90.00
_cell_angle_gamma 90.00
loop_
_atom_site_label
_atom_site_fract_x
_atom_site_fract_y
_atom_site_fract_z
_atom_site_occupancy
Ac1 0.0000 0.0000 0.2500 1
Ac2 0.2491 0.3224 0.0000 1
Dy1 0.0000 0.5000 0.2500 1
Tl1 0.2314 0.3705 0.5000 1
```

## Properties
calculated density = 9.36 Mg/m³
total energy = -3.82 eV/atom
magnetic moment = 0.9 μB/f.u.
DOS at the Fermi energy = 1.2799 states/eV/atom
energy relative to the elements = -0.21 eV per atom
volume = 888 Å³ per cell

[7]
TaPSe2: optimized geometry, GGA-PBE.

Cell and atoms, written as CIF:
```
data_TaPSe2
_space_group_name_H-M_alt 'I -4 m 2'
_space_group_IT_number 119
_space_group_name_Hall 'I -4 -2'
_cell_length_a 4.2103
_cell_length_b 4.2103
_cell_length_c 7.8194
_cell_angle_alpha 90.00
_cell_angle_beta 90.00
_cell_angle_gamma 90.00
loop_
_atom_site_label
_atom_site_fract_x
_atom_site_fract_y
_atom_site_fract_z
_atom_site_occupancy
Ta1 0.0000 0.0000 0.0000 1
P1 0.0000 0.5000 0.7500 1
Se1 0.0000 0.0000 0.5000 1
Se2 0.0000 0.5000 0.2500 1
```

## Properties
ΔE_f (raw) = 0.3710 eV per atom
calculated density = 8.86 Mg/m³
total energy = -5.69 eV/atom
magnetic moment = 0.0 μB/f.u.
DOS at the Fermi energy = 0.8991 states/eV/atom
volume = 139 Å³ per cell

[8]
TmScGaPd: optimized geometry, GGA-PBE.

Cell and atoms, written as CIF:
```
data_TmScGaPd
_space_group_name_H-M_alt 'A m m 2'
_space_group_IT_number 38
_cell_length_a 4.3436
_cell_length_b 3.5433
_cell_length_c 10.8118
_cell_angle_alpha 90.00
_cell_angle_beta 90.00
_cell_angle_gamma 90.00
loop_
_space_group_symop_operation_xyz
'x,y,z'
'-x,-y,z'
'-x,y,z'
'x,-y,z'
'x,y+1/2,z+1/2'
'-x,-y+1/2,z+1/2'
'-x,y+1/2,z+1/2'
'x,-y+1/2,z+1/2'
loop_
_atom_site_label
_atom_site_fract_x
_atom_site_fract_y
_atom_site_fract_z
_atom_site_occupancy
Tm1 0.0000 0.0000 0.0000 1
Sc1 0.5000 0.0000 0.7124 1
Ga1 0.0000 0.0000 0.2708 1
Pd1 0.5000 0.0000 0.4266 1
```

## Properties
calculated density = 7.78 Mg/m³
total energy = -5.51 eV/atom
magnetic moment = 0.0 μB/f.u.
DOS at the Fermi energy = 0.6604 states/eV/atom
energy relative to the elements = -0.75 eV per atom
volume = 166 Å³ per cell

[9]
BeCu2W: optimized geometry, GGA-PBE.

Cell and atoms, written as CIF:
```
data_BeCu2W
_space_group_name_H-M_alt 'I -4 2 d'
_space_group_IT_number 122
_space_group_name_Hall 'I -4 2bw'
_cell_length_a 3.3891
_cell_length_b 3.3891
_cell_length_c 17.9012
_cell_angle_alpha 90.00
_cell_angle_beta 90.00
_cell_angle_gamma 90.00
loop_
_atom_site_label
_atom_site_fract_x
_atom_site_fract_y
_atom_site_fract_z
_atom_site_occupancy
Be1 0.0000 0.0000 0.0000 1
Cu1 0.2380 0.2500 0.1250 1
W1 0.0000 0.0000 0.5000 1
```

## Properties
calculated density = 10.34 Mg/m³
total energy = -5.63 eV/atom
magnetic moment = 0.0 μB/f.u.
DOS at the Fermi energy = 0.7798 states/eV/atom
energy relative to the elements = 0.59 eV per atom
volume = 206 Å³ per cell

[10]
CrCoPS2: optimized geometry, GGA-PBE.

Cell and atoms, written as CIF:
```
data_CrCoPS2
_space_group_name_H-M_alt 'P 4/m m m'
_space_group_IT_number 123
_space_group_name_Hall '-P 4 2'
_cell_length_a 4.4388
_cell_length_b 4.4388
_cell_length_c 4.4656
_cell_angle_alpha 90.00
_cell_angle_beta 90.00
_cell_angle_gamma 90.00
loop_
_atom_site_label
_atom_site_fract_x
_atom_site_fract_y
_atom_site_fract_z
_atom_site_occupancy
Cr1 0.0000 0.0000 0.0000 1
Co1 0.5000 0.5000 0.5000 1
P1 0.0000 0.0000 0.5000 1
S1 0.0000 0.5000 0.0000 1
```

## Properties
ΔE_f (raw) = 0.7330 eV per atom
calculated density = 3.89 Mg/m³
total energy = -5.35 eV/atom
magnetic moment = 3.1 μB/f.u.
DOS at the Fermi energy = 1.8407 states/eV/atom
volume = 88 Å³ per cell

[11]
Na3Mg2MnH9: optimized geometry, GGA-PBE.

Cell and atoms, written as CIF:
```
data_Na3Mg2MnH9
_space_group_name_H-M_alt 'P -3 m 1'
_space_group_IT_number 164
_space_group_name_Hall '-P 3 2"'
_cell_length_a 5.1916
_cell_length_b 5.1916
_cell_length_c 6.3411
_cell_angle_alpha 90.00
_cell_angle_beta 90.00
_cell_angle_gamma 120.00
loop_
_atom_site_label
_atom_site_fract_x
_atom_site_fract_y
_atom_site_fract_z
_atom_site_occupancy
Na1 0.0000 0.0000 0.0000 1
Na2 0.3333 0.6667 0.6658 1
Mg1 0.3333 0.6667 0.1783 1
Mn1 0.0000 0.0000 0.5000 1
H1 0.0000 0.5000 0.0000 1
H2 0.1525 0.3051 0.3481 1
```

## Properties
calculated density = 2.04 Mg/m³
total energy = -3.24 eV/atom
magnetic moment = 1.0 μB/f.u.
DOS at the Fermi energy = 0.4686 states/eV/atom
volume = 148 Å³ per cell

[12]
SrSiBCl2: optimized geometry, GGA-PBE.

Cell and atoms, written as CIF:
```
data_SrSiBCl2
_space_group_name_H-M_alt 'P 4/m m m'
_space_group_IT_number 123
_space_group_name_Hall '-P 4 2'
_cell_length_a 5.5320
_cell_length_b 5.5320
_cell_length_c 6.0033
_cell_angle_alpha 90.00
_cell_angle_beta 90.00
_cell_angle_gamma 90.00
loop_
_atom_site_label
_atom_site_fract_x
_atom_site_fract_y
_atom_site_fract_z
_atom_site_occupancy
Sr1 0.0000 0.0000 0.0000 1
Si1 0.5000 0.5000 0.5000 1
B1 0.0000 0.0000 0.5000 1
Cl1 0.0000 0.5000 0.0000 1
```

## Properties
ΔE_f (raw) = 0.5496 eV per atom
calculated density = 1.78 Mg/m³
total energy = -2.95 eV/atom
magnetic moment = 3.0 μB/f.u.
DOS at the Fermi energy = 0.1093 states/eV/atom
volume = 184 Å³ per cell